Entry 1:
{
  "formula": "ZrPaVRe",
  "functional": "PBE",
  "state": "optimized geometry",
  "ef_mev_per_atom": 2,
  "crystal_system": "cubic",
  "rho_g_cm3": 12.24,
  "lattice": [[4.753, 0.000, 0.000], [2.376, 4.116, 0.000], [2.376, 1.372, 3.881]],
  "species": ["Re", "Zr", "V", "Pa"],
  "frac_coords": [[0.500, 0.500, 0.500], [0.750, 0.750, 0.750], [0.000, 0.000, 0.000], [0.250, 0.250, 0.250]]
}



Entry 2:
{
  "formula": "Ac6PAu2",
  "functional": "PBE",
  "state": "optimized geometry",
  "ef_mev_per_atom": -644,
  "crystal_system": "monoclinic",
  "rho_g_cm3": 8.92,
  "lattice": [[7.259, 0.000, 0.071], [0.000, 8.087, 0.000], [0.479, 0.000, 11.343]],
  "species": ["Ac", "Ac", "Ac", "Ac", "Ac", "Ac", "Ac", "Ac", "Ac", "Ac", "Ac", "Ac", "Au", "Au", "Au", "Au", "P", "P"],
  "frac_coords": [[0.154, 0.037, 0.249], [0.346, 0.537, 0.251], [0.654, 0.463, 0.749], [0.663, 0.175, 0.072], [0.337, 0.825, 0.928], [0.163, 0.325, 0.572], [0.331, 0.808, 0.569], [0.831, 0.692, 0.069], [0.837, 0.675, 0.428], [0.169, 0.308, 0.931], [0.669, 0.192, 0.431], [0.846, 0.963, 0.751], [0.066, 0.615, 0.766], [0.566, 0.885, 0.266], [0.934, 0.385, 0.234], [0.434, 0.115, 0.734], [0.000, 0.000, 0.500], [0.500, 0.500, 0.000]]
}



Entry 3:
{
  "formula": "CoTcSb2",
  "functional": "PBE",
  "state": "optimized geometry",
  "e_above_lowest_polymorph_mev_per_atom": 253,
  "crystal_system": "orthorhombic",
  "rho_g_cm3": 9.19,
  "lattice": [[-0.527, 5.513, 1.600], [-4.190, 3.498, -1.856], [1.317, -4.981, 2.586]],
  "species": ["Sb", "Sb", "Tc", "Co"],
  "frac_coords": [[0.017, 0.017, 0.000], [0.743, 0.243, 0.500], [0.520, 0.520, 0.000], [0.220, 0.720, 0.500]]
}



Entry 4:
{
  "formula": "BaYIN2",
  "functional": "PBE",
  "state": "optimized geometry",
  "e_above_lowest_polymorph_mev_per_atom": 1165,
  "crystal_system": "tetragonal",
  "rho_g_cm3": 4.71,
  "lattice": [[4.641, 0.000, 0.000], [0.000, 4.641, 0.000], [0.000, 0.000, 6.238]],
  "species": ["Ba", "Y", "N", "N", "I"],
  "frac_coords": [[0.000, 0.000, 0.000], [0.500, 0.500, 0.500], [0.500, 0.000, 0.000], [0.000, 0.500, 0.000], [0.000, 0.000, 0.500]]
}



Entry 5:
{
  "formula": "Rb2NaHgCl4",
  "functional": "PBE",
  "state": "optimized geometry",
  "crystal_system": "orthorhombic",
  "rho_g_cm3": 3.25,
  "dft_energy_ev_per_atom": -2.715,
  "lattice": [[6.214, 0.000, 0.000], [3.107, 7.471, 0.000], [3.107, 0.000, 11.820]],
  "species": ["Rb", "Rb", "Rb", "Rb", "Hg", "Hg", "Cl", "Cl", "Cl", "Cl", "Cl", "Cl", "Cl", "Cl", "Na", "Na"],
  "frac_coords": [[0.819, 0.000, 0.361], [0.181, 0.000, 0.639], [0.931, 0.500, 0.139], [0.569, 0.500, 0.861], [0.250, 0.500, 0.500], [0.500, 0.000, 0.000], [0.783, 0.742, 0.618], [0.143, 0.258, 0.382], [0.967, 0.758, 0.882], [0.476, 0.742, 0.382], [0.599, 0.258, 0.618], [0.274, 0.758, 0.118], [0.607, 0.242, 0.118], [0.151, 0.242, 0.882], [0.750, 0.500, 0.500], [0.000, 0.000, 0.000]]
}



Entry 6:
{
  "formula": "Al3GaIr",
  "functional": "PBE",
  "state": "optimized geometry",
  "e_above_lowest_polymorph_mev_per_atom": 0,
  "ef_mev_per_atom": -289,
  "crystal_system": "monoclinic",
  "rho_g_cm3": 6.22,
  "lattice": [[6.002, 0.267, -0.319], [-1.386, 5.846, 0.319], [-2.763, -2.713, 5.203]],
  "species": ["Al", "Al", "Al", "Al", "Al", "Al", "Ga", "Ga", "Ir", "Ir"],
  "frac_coords": [[0.761, 0.623, 0.765], [0.141, 0.003, 0.765], [0.296, 0.584, 0.880], [0.704, 0.416, 0.120], [0.859, 0.997, 0.235], [0.239, 0.377, 0.235], [0.712, 0.070, 0.782], [0.288, 0.930, 0.218], [0.357, 0.259, 0.615], [0.643, 0.741, 0.385]]
}